# TaMnCu2O6

A relaxed TaMnCu2O6 crystal (GGA+U, the Alexandria database).

Results
Magnetization (μB/cell): 4.01
Raw total energy (eV per atom): -7.243

Structure (POSCAR):
```
TaMnCu2O6
1.0
5.118 0.000 0.000
2.387 4.589 0.000
0.279 2.627 4.767
Ta Mn Cu O
1 1 2 6
Direct
0.000 0.000 0.000 Ta
0.492 0.027 0.489 Mn
0.216 0.601 0.598 Cu
0.715 0.597 0.104 Cu
0.109 0.531 0.304 O
0.273 0.841 0.768 O
0.405 0.814 0.300 O
0.657 0.065 0.799 O
0.747 0.158 0.254 O
0.967 0.438 0.833 O
```